VASP calculation (PBE-GGA) on a geometry-optimized AlCdRe3 structure.

```
data_AlCdRe3
_space_group_name_H-M_alt 'P m -3 m'
_space_group_IT_number 221
_space_group_name_Hall '-P 4 2 3'
_cell_length_a 4.507
_cell_length_b 4.507
_cell_length_c 4.507
_cell_angle_alpha 90.00
_cell_angle_beta 90.00
_cell_angle_gamma 90.00
loop_
_atom_site_label
_atom_site_fract_x
_atom_site_fract_y
_atom_site_fract_z
_atom_site_occupancy
Al1 0.000 0.000 0.000 1
Cd1 0.500 0.500 0.500 1
Re1 0.000 0.000 0.500 1
```

Output
Energy of formation ... 8.79 eV per formula unit
VASP energy ... -6.64 eV/atom
ρ ... 12.7 g cm⁻³
Offset from the most stable computed form ... 0.000 eV/atom